Record 1
Dy4TmLu2Ni2Te2 | PBE | relaxed

```
data_Dy4TmLu2Ni2Te2
_symmetry_space_group_name_H-M 'P 1'
_symmetry_Int_Tables_number 1
_symmetry_space_group_name_Hall 'P 1'
_cell_length_a 9.288
_cell_length_b 9.288
_cell_length_c 9.288
_cell_angle_alpha 156.27
_cell_angle_beta 67.21
_cell_angle_gamma 118.16
loop_
_atom_site_label
_atom_site_fract_x
_atom_site_fract_y
_atom_site_fract_z
_atom_site_occupancy
Dy1 0.112 0.797 0.315 1
Dy2 0.133 0.000 0.133 1
Dy3 0.483 0.797 0.685 1
Dy4 0.867 0.000 0.867 1
Tm1 0.420 0.420 0.000 1
Lu1 0.501 0.147 0.355 1
Lu2 0.792 0.147 0.645 1
Ni1 0.258 0.492 0.766 1
Ni2 0.726 0.492 0.234 1
Te1 0.155 0.655 0.500 1
Te2 0.755 0.755 0.000 1
```

Calculated values
Space group = Imm2


Record 2
DyTm4Lu2Ni2Te2 | PBE | relaxed

```
data_DyTm4Lu2Ni2Te2
_symmetry_space_group_name_H-M 'P 1'
_symmetry_Int_Tables_number 1
_symmetry_space_group_name_Hall 'P 1'
_cell_length_a 9.197
_cell_length_b 9.197
_cell_length_c 9.197
_cell_angle_alpha 156.08
_cell_angle_beta 67.15
_cell_angle_gamma 118.31
loop_
_atom_site_label
_atom_site_fract_x
_atom_site_fract_y
_atom_site_fract_z
_atom_site_occupancy
Dy1 0.000 0.000 0.000 1
Tm1 0.062 0.376 0.685 1
Tm2 0.083 0.730 0.353 1
Tm3 0.377 0.730 0.647 1
Tm4 0.691 0.376 0.315 1
Lu1 0.447 0.582 0.865 1
Lu2 0.717 0.582 0.135 1
Ni1 0.307 0.070 0.237 1
Ni2 0.833 0.070 0.763 1
Te1 0.340 0.340 0.000 1
Te2 0.732 0.232 0.500 1
```

Calculated values
Space group = Imm2


| no. | distance to the lowest polymorph of the same formula (meV per atom) |
| --- | --- |
| 1 | 15 |
| 2 | 6 |